Entry 1:
# PBE PRhCl2, optimized geometry
# - Magnetization: 0.3 μB/f.u.
# - Raw formation energy: 0.484 eV/atom
# - Offset from the most stable computed form: 1.221 eV per atom
data_PRhCl2
_chemical_formula_sum 'P3 Rh3 Cl6'
_symmetry_space_group_name_H-M 'R -3 m'
_symmetry_Int_Tables_number 166
_symmetry_space_group_name_Hall '-R 3 2"'
_cell_length_a 3.0556
_cell_length_b 3.0556
_cell_length_c 26.0390
_cell_angle_alpha 90.00
_cell_angle_beta 90.00
_cell_angle_gamma 120.00
loop_
_atom_site_label
_atom_site_type_symbol
_atom_site_fract_x
_atom_site_fract_y
_atom_site_fract_z
P1 P 0.0000 0.0000 0.0000
Rh1 Rh 0.0000 0.0000 0.5000
Cl1 Cl 0.0000 0.0000 0.4131


Entry 2:
# PBE TaTeI3, optimized geometry
# - Magnetization: 0.0 μB/f.u.
# - Raw formation energy: 0.411 eV/atom
data_TaTeI3
_chemical_formula_sum 'Ta1 Te1 I3'
_symmetry_space_group_name_H-M 'P m -3 m'
_symmetry_Int_Tables_number 221
_symmetry_space_group_name_Hall '-P 4 2 3'
_cell_length_a 5.503
_cell_length_b 5.503
_cell_length_c 5.503
_cell_angle_alpha 90.00
_cell_angle_beta 90.00
_cell_angle_gamma 90.00
loop_
_atom_site_label
_atom_site_type_symbol
_atom_site_fract_x
_atom_site_fract_y
_atom_site_fract_z
Ta1 Ta 0.000 0.000 0.000
Te1 Te 0.500 0.500 0.500
I1 I 0.000 0.000 0.500


Entry 3:
# PBE PrNdYTm, optimized geometry
# - Magnetization: 0.0 μB/f.u.
# - Energy relative to the elements: 0.013 eV/atom
# - Offset from the most stable computed form: 0.000 eV per atom
data_PrNdYTm
_chemical_formula_sum 'Pr1 Nd1 Y1 Tm1'
_symmetry_space_group_name_H-M 'P 3 m 1'
_symmetry_Int_Tables_number 156
_cell_length_a 3.6308
_cell_length_b 3.6308
_cell_length_c 11.7049
_cell_angle_alpha 90.00
_cell_angle_beta 90.00
_cell_angle_gamma 120.00
loop_
_symmetry_equiv_pos_as_xyz
'x,y,z'
'-y,x-y,z'
'-x+y,-x,z'
'-y,-x,z'
'-x+y,y,z'
'x,x-y,z'
loop_
_atom_site_label
_atom_site_type_symbol
_atom_site_fract_x
_atom_site_fract_y
_atom_site_fract_z
Pr1 Pr 0.0000 0.0000 0.0000
Nd1 Nd 0.6667 0.3333 0.7393
Y1 Y 0.3333 0.6667 0.4905
Tm1 Tm 0.6667 0.3333 0.2498


Entry 4:
# PBE TlWBr2, optimized geometry
# - Magnetization: 4.0 μB/f.u.
# - Raw formation energy: 0.885 eV/atom
# - Offset from the most stable computed form: 0.634 eV per atom
data_TlWBr2
_chemical_formula_sum 'Tl2 W2 Br4'
_symmetry_space_group_name_H-M 'C 1 2/m 1'
_symmetry_Int_Tables_number 12
_cell_length_a 7.941
_cell_length_b 8.792
_cell_length_c 3.496
_cell_angle_alpha 90.00
_cell_angle_beta 112.97
_cell_angle_gamma 90.00
loop_
_symmetry_equiv_pos_as_xyz
'x,y,z'
'-x,-y,-z'
'-x,y,-z'
'x,-y,z'
'x+1/2,y+1/2,z'
'-x+1/2,-y+1/2,-z'
'-x+1/2,y+1/2,-z'
'x+1/2,-y+1/2,z'
loop_
_atom_site_label
_atom_site_type_symbol
_atom_site_fract_x
_atom_site_fract_y
_atom_site_fract_z
Tl1 Tl 0.000 0.000 0.000
W1 W 0.000 0.500 0.000
Br1 Br 0.250 0.250 0.500


Entry 5:
# PBE CsSiTeO6, optimized geometry
# - Magnetization: 1.1 μB/f.u.
# - Raw formation energy: -1.522 eV/atom
data_CsSiTeO6
_chemical_formula_sum 'Cs1 Si1 Te1 O6'
_symmetry_space_group_name_H-M 'P 3 1 2'
_symmetry_Int_Tables_number 149
_cell_length_a 5.0164
_cell_length_b 5.0164
_cell_length_c 6.9425
_cell_angle_alpha 90.00
_cell_angle_beta 90.00
_cell_angle_gamma 120.00
loop_
_symmetry_equiv_pos_as_xyz
'x,y,z'
'-y,x-y,z'
'-x+y,-x,z'
'-y,-x,-z'
'-x+y,y,-z'
'x,x-y,-z'
loop_
_atom_site_label
_atom_site_type_symbol
_atom_site_fract_x
_atom_site_fract_y
_atom_site_fract_z
Cs1 Cs 0.0000 0.0000 0.0000
Si1 Si 0.6667 0.3333 0.5000
Te1 Te 0.3333 0.6667 0.5000
O1 O 0.3925 0.0226 0.6515


Entry 6:
# PBE RbScGe, optimized geometry
# - Magnetization: 0.0 μB/f.u.
# - Energy relative to the elements: -0.154 eV/atom
# - Offset from the most stable computed form: 0.206 eV per atom
data_RbScGe
_chemical_formula_sum 'Rb4 Sc4 Ge4'
_symmetry_space_group_name_H-M 'C m c m'
_symmetry_Int_Tables_number 63
_symmetry_space_group_name_Hall '-C 2c 2'
_cell_length_a 3.873
_cell_length_b 13.805
_cell_length_c 7.352
_cell_angle_alpha 90.00
_cell_angle_beta 90.00
_cell_angle_gamma 90.00
loop_
_atom_site_label
_atom_site_type_symbol
_atom_site_fract_x
_atom_site_fract_y
_atom_site_fract_z
Rb1 Rb 0.000 0.225 0.250
Sc1 Sc 0.000 0.500 0.000
Ge1 Ge 0.000 0.050 0.750


Entry 7:
# PBE TlPbF6, optimized geometry
# - Magnetization: 0.0 μB/f.u.
# - Raw formation energy: -1.929 eV/atom
# - Offset from the most stable computed form: 0.000 eV per atom
data_TlPbF6
_chemical_formula_sum 'Tl2 Pb2 F12'
_symmetry_space_group_name_H-M 'P 1 21/c 1'
_symmetry_Int_Tables_number 14
_cell_length_a 5.972
_cell_length_b 6.202
_cell_length_c 10.475
_cell_angle_alpha 90.00
_cell_angle_beta 124.74
_cell_angle_gamma 90.00
loop_
_symmetry_equiv_pos_as_xyz
'x,y,z'
'-x,-y,-z'
'-x,y+1/2,-z+1/2'
'x,-y+1/2,z+1/2'
loop_
_atom_site_label
_atom_site_type_symbol
_atom_site_fract_x
_atom_site_fract_y
_atom_site_fract_z
Tl1 Tl 0.000 0.000 0.000
Pb1 Pb 0.500 0.000 0.500
F1 F 0.158 0.209 0.455
F2 F 0.249 0.707 0.455
F3 F 0.339 0.015 0.249


Entry 8:
# PBE ReAgCl2, optimized geometry
# - Magnetization: 0.8 μB/f.u.
# - Raw formation energy: 0.788 eV/atom
# - Offset from the most stable computed form: 0.606 eV per atom
data_ReAgCl2
_chemical_formula_sum 'Re1 Ag1 Cl2'
_symmetry_space_group_name_H-M 'P 4/m m m'
_symmetry_Int_Tables_number 123
_symmetry_space_group_name_Hall '-P 4 2'
_cell_length_a 3.000
_cell_length_b 3.000
_cell_length_c 9.697
_cell_angle_alpha 90.00
_cell_angle_beta 90.00
_cell_angle_gamma 90.00
loop_
_atom_site_label
_atom_site_type_symbol
_atom_site_fract_x
_atom_site_fract_y
_atom_site_fract_z
Re1 Re 0.000 0.000 0.000
Ag1 Ag 0.000 0.000 0.500
Cl1 Cl 0.500 0.500 0.154


Entry 9:
# PBE ErZn2Ag2, optimized geometry
# - Magnetization: 0.0 μB/f.u.
# - Energy relative to the elements: -0.224 eV/atom
data_ErZn2Ag2
_chemical_formula_sum 'Er1 Zn2 Ag2'
_symmetry_space_group_name_H-M 'P -1'
_symmetry_Int_Tables_number 2
_cell_length_a 4.733
_cell_length_b 4.756
_cell_length_c 5.299
_cell_angle_alpha 67.10
_cell_angle_beta 66.03
_cell_angle_gamma 60.67
loop_
_symmetry_equiv_pos_as_xyz
'x,y,z'
'-x,-y,-z'
loop_
_atom_site_label
_atom_site_type_symbol
_atom_site_fract_x
_atom_site_fract_y
_atom_site_fract_z
Er1 Er 0.000 0.000 0.000
Zn1 Zn 0.408 0.399 0.760
Ag1 Ag 0.222 0.227 0.352


Entry 10:
# PBE ErNbBiO6, optimized geometry
# - Magnetization: 0.0 μB/f.u.
# - Raw formation energy: -2.314 eV/atom
data_ErNbBiO6
_chemical_formula_sum 'Er2 Nb2 Bi2 O12'
_symmetry_space_group_name_H-M 'P 42 n m'
_symmetry_Int_Tables_number 102
_cell_length_a 5.024
_cell_length_b 5.024
_cell_length_c 10.137
_cell_angle_alpha 90.00
_cell_angle_beta 90.00
_cell_angle_gamma 90.00
loop_
_symmetry_equiv_pos_as_xyz
'x,y,z'
'-y+1/2,x+1/2,z+1/2'
'-x,-y,z'
'y+1/2,-x+1/2,z+1/2'
'-x+1/2,y+1/2,z+1/2'
'y,x,z'
'x+1/2,-y+1/2,z+1/2'
'-y,-x,z'
loop_
_atom_site_label
_atom_site_type_symbol
_atom_site_fract_x
_atom_site_fract_y
_atom_site_fract_z
Er1 Er 0.000 0.000 0.000
Nb1 Nb 0.000 0.000 0.336
Bi1 Bi 0.000 0.000 0.670
O1 O 0.184 0.184 0.179
O2 O 0.187 0.187 0.482
O3 O 0.213 0.213 0.834


Entry 11:
# PBE SrAl3AgPd, optimized geometry
# - Magnetization: 0.0 μB/f.u.
# - Energy relative to the elements: -0.347 eV/atom
data_SrAl3AgPd
_chemical_formula_sum 'Sr4 Al12 Ag4 Pd4'
_symmetry_space_group_name_H-M 'C m c m'
_symmetry_Int_Tables_number 63
_symmetry_space_group_name_Hall '-C 2c 2'
_cell_length_a 6.185
_cell_length_b 13.568
_cell_length_c 5.941
_cell_angle_alpha 90.00
_cell_angle_beta 90.00
_cell_angle_gamma 90.00
loop_
_atom_site_label
_atom_site_type_symbol
_atom_site_fract_x
_atom_site_fract_y
_atom_site_fract_z
Sr1 Sr 0.000 0.212 0.250
Al1 Al 0.000 0.373 0.750
Al2 Al 0.216 0.000 0.000
Ag1 Ag 0.000 0.150 0.750
Pd1 Pd 0.000 0.422 0.250


Entry 12:
# PBE V6GaB2, optimized geometry
# - Magnetization: 0.0 μB/f.u.
# - Energy relative to the elements: -0.397 eV/atom
data_V6GaB2
_chemical_formula_sum 'V24 Ga4 B8'
_symmetry_space_group_name_H-M 'I m m m'
_symmetry_Int_Tables_number 71
_symmetry_space_group_name_Hall '-I 2 2'
_cell_length_a 6.914
_cell_length_b 7.524
_cell_length_c 8.122
_cell_angle_alpha 90.00
_cell_angle_beta 90.00
_cell_angle_gamma 90.00
loop_
_atom_site_label
_atom_site_type_symbol
_atom_site_fract_x
_atom_site_fract_y
_atom_site_fract_z
V1 V 0.000 0.228 0.247
V2 V 0.203 0.500 0.185
V3 V 0.209 0.298 0.500
Ga1 Ga 0.000 0.000 0.000
Ga2 Ga 0.000 0.000 0.500
B1 B 0.000 0.378 0.000
B2 B 0.000 0.500 0.392